[1]
A relaxed Er2PaSi crystal, computed with PBE-GGA.

Cell: 4.463 4.579 4.579 Å, 90.00 90.00 90.00°
Sites, in units of the cell vectors:
Si 0.500 0.000 0.000
Pa 0.500 0.500 0.500
Er 0.000 0.000 0.500
Er 0.000 0.500 0.000

Output
As for the formation energy (no corrections): -116 meV/atom. For the density, the calculation gives 10.5 g/cm3. The total DFT energy (no corrections) comes out at -6.127 eV per atom. The calculation puts the relative energy among the computed polymorphs at 0 meV/atom.

***

[2]
A relaxed TaPt2Au crystal, computed with PBE-GGA.

Cell: 4.096 2.905 6.292 Å, 62.38 90.00 90.00°
Sites, in units of the cell vectors:
Au 0.500 0.745 0.754
Pt 0.000 0.001 0.998
Pt 0.500 0.240 0.261
Ta 0.000 0.514 0.487

Output
For the density, the calculation gives 19.2 g/cm3. The total DFT energy (no corrections) comes out at -7.151 eV per atom. The calculation puts the relative energy among the computed polymorphs at 128 meV/atom. Its energy of formation is -0.3479 eV/atom.

***

[3]
A relaxed In2Ga2Se crystal, computed with PBE-GGA.

Cell: 7.517 7.517 4.253 Å, 90.00 90.00 90.00°
Sites, in units of the cell vectors:
Ga 0.368 0.868 0.000
Ga 0.868 0.632 0.000
Ga 0.632 0.132 0.000
Ga 0.132 0.368 0.000
Se 0.000 0.000 0.000
Se 0.500 0.500 0.000
In 0.175 0.675 0.500
In 0.675 0.825 0.500
In 0.825 0.325 0.500
In 0.325 0.175 0.500

Output
As for the formation energy (no corrections): -21 meV/atom. For the density, the calculation gives 6.2 g/cm3. The total DFT energy (no corrections) comes out at -3.024 eV per atom. The calculation puts the relative energy among the computed polymorphs at 0 meV/atom.

***

[4]
A relaxed Tb2CeTm5 crystal, computed with PBE-GGA.

Cell: 7.000 7.000 7.000 Å, 90.44 119.74 119.74°
Sites, in units of the cell vectors:
Tb 0.500 0.222 0.722
Tb 0.500 0.722 0.222
Ce 0.000 0.222 0.222
Tm 0.500 0.722 0.722
Tm 0.000 0.222 0.722
Tm 0.000 0.722 0.222
Tm 0.500 0.222 0.222
Tm 0.000 0.722 0.722

Output
For the density, the calculation gives 8.9 g/cm3. The total DFT energy (no corrections) comes out at -4.655 eV per atom. The calculation puts the relative energy among the computed polymorphs at 0 meV/atom. Its energy of formation is 0.0387 eV/atom.

***

[5]
A relaxed NaBiAs2O8 crystal, computed with PBE-GGA.

Cell: 5.949 5.949 5.949 Å, 105.88 105.88 116.91°
Sites, in units of the cell vectors:
Na 0.250 0.750 0.500
Bi 0.000 0.000 0.000
As 0.750 0.250 0.500
As 0.500 0.500 0.000
O 0.387 0.071 0.316
O 0.312 0.491 0.179
O 0.312 0.134 0.821
O 0.755 0.071 0.684
O 0.866 0.688 0.179
O 0.929 0.245 0.316
O 0.929 0.613 0.684
O 0.509 0.688 0.821

Output
As for the formation energy (no corrections): -1058 meV/atom. For the density, the calculation gives 5.3 g/cm3. The total DFT energy (no corrections) comes out at -5.571 eV per atom.

***

[6]
A relaxed SrNiMo2 crystal, computed with PBE-GGA.

Cell: 5.751 5.751 2.700 Å, 90.00 90.00 125.26°
Sites, in units of the cell vectors:
Mo 0.000 0.000 0.000
Mo 0.500 0.500 0.000
Ni 0.500 0.000 0.500
Sr 0.000 0.500 0.500

Output
For the density, the calculation gives 7.7 g/cm3. The total DFT energy (no corrections) comes out at -6.299 eV per atom. The calculation puts the relative energy among the computed polymorphs at 531 meV/atom. Its energy of formation is 0.9819 eV/atom.

***

[7]
A relaxed Pu2PbAu2 crystal, computed with PBE-GGA.

Cell: 4.771 5.713 5.713 Å, 70.58 65.32 65.32°
Sites, in units of the cell vectors:
Pu 0.801 0.699 0.699
Pu 0.199 0.301 0.301
Pb 0.000 0.000 0.000
Au 0.500 0.709 0.291
Au 0.500 0.291 0.709

Output
For the density, the calculation gives 14.3 g/cm3. The total DFT energy (no corrections) comes out at -8.109 eV per atom. Its energy of formation is -0.3235 eV/atom.

***

[8]
A relaxed PmNd15Er4 crystal, computed with PBE-GGA.

Cell: 5.160 5.160 25.702 Å, 90.00 90.00 90.00°
Sites, in units of the cell vectors:
Pm 0.000 0.000 0.000
Nd 0.500 0.500 0.000
Nd 0.500 0.500 0.201
Nd 0.500 0.500 0.400
Nd 0.500 0.500 0.600
Nd 0.500 0.500 0.799
Nd 0.500 0.000 0.101
Nd 0.500 0.000 0.301
Nd 0.500 0.000 0.500
Nd 0.500 0.000 0.699
Nd 0.500 0.000 0.899
Nd 0.000 0.500 0.101
Nd 0.000 0.500 0.301
Nd 0.000 0.500 0.500
Nd 0.000 0.500 0.699
Nd 0.000 0.500 0.899
Er 0.000 0.000 0.201
Er 0.000 0.000 0.400
Er 0.000 0.000 0.600
Er 0.000 0.000 0.799

Output
For the density, the calculation gives 7.2 g/cm3. The total DFT energy (no corrections) comes out at -4.714 eV per atom. Its energy of formation is 0.0117 eV/atom.

***

[9]
A relaxed KNiW crystal, computed with PBE-GGA.

Cell: 2.893 2.893 7.842 Å, 90.00 90.00 120.00°
Sites, in units of the cell vectors:
K 0.000 0.000 0.016
Ni 0.667 0.333 0.373
W 0.333 0.667 0.612

Output
For the density, the calculation gives 8.2 g/cm3. The total DFT energy (no corrections) comes out at -5.629 eV per atom. The calculation puts the relative energy among the computed polymorphs at 114 meV/atom. Its energy of formation is 0.9819 eV/atom.

***

[10]
A relaxed SrAl3ZnPt crystal, computed with PBE-GGA.

Cell: 5.757 5.929 7.913 Å, 112.00 90.00 90.00°
Sites, in units of the cell vectors:
Sr 0.750 0.292 0.584
Sr 0.250 0.708 0.416
Al 0.250 0.119 0.237
Al 0.000 0.277 0.000
Al 0.500 0.723 0.000
Al 0.500 0.277 0.000
Al 0.000 0.723 0.000
Al 0.750 0.881 0.763
Zn 0.250 0.366 0.731
Zn 0.750 0.634 0.269
Pt 0.250 0.911 0.823
Pt 0.750 0.089 0.177

Output
For the density, the calculation gives 5.7 g/cm3. The total DFT energy (no corrections) comes out at -3.744 eV per atom. Its energy of formation is -0.3734 eV/atom.

***

[11]
A relaxed Nd2Be3Si4Rh crystal, computed with PBE-GGA.

Cell: 3.990 3.990 9.913 Å, 90.00 90.00 90.00°
Sites, in units of the cell vectors:
Nd 0.500 0.000 0.242
Nd 0.000 0.500 0.758
Be 0.000 0.000 0.500
Be 0.500 0.000 0.871
Be 0.000 0.500 0.129
Si 0.500 0.500 0.000
Si 0.000 0.000 0.000
Si 0.500 0.000 0.633
Si 0.000 0.500 0.367
Rh 0.500 0.500 0.500

Output
As for the formation energy (no corrections): -534 meV/atom. For the density, the calculation gives 5.6 g/cm3. The total DFT energy (no corrections) comes out at -5.510 eV per atom.

***

[12]
A relaxed HoTlAg crystal, computed with PBE-GGA.

Cell: 4.823 4.823 4.823 Å, 60.00 60.00 60.00°
Sites, in units of the cell vectors:
Tl 0.500 0.500 0.500
Ho 0.000 0.000 0.000
Ag 0.250 0.250 0.250

Output
For the density, the calculation gives 10.0 g/cm3. The total DFT energy (no corrections) comes out at -3.427 eV per atom. Its energy of formation is -0.1622 eV/atom.

***

> The highest density belongs to which entry?

TaPt2Au

***

> The lowest density belongs to which entry?

NaBiAs2O8

***

> Look up the density of the seventh one.

14.3 g/cm3

***

> Which of these has the lowest density?

NaBiAs2O8